Record 1
Here is a relaxed structure of TlGaS2 from Alexandria. Energies are from PBE.

abc: 3.671 3.671 7.787
angles: 76.37 76.37 60.00
Element x y z (fractional)
S: 0.060 0.060 0.820
S: 0.274 0.274 0.178
Ga: 0.667 0.667 0.999
Tl: 0.499 0.499 0.503

For the formation energy without anion corrections, the calculation gives -1.9 eV/f.u.



Record 2
Here is a relaxed structure of KAs2C from Alexandria. Energies are from PBE.

abc: 6.789 6.789 6.070
angles: 56.00 56.00 90.00
Element x y z (fractional)
C: 0.500 0.500 0.000
C: 0.250 0.750 0.500
K: 0.000 0.000 0.000
K: 0.750 0.250 0.500
As: 0.875 0.747 0.750
As: 0.497 0.125 0.250
As: 0.375 0.503 0.750
As: 0.253 0.625 0.250

The calculation puts the total energy at -4.3166 eV per atom.



Record 3
Here is a relaxed structure of PmBiRuAu from Alexandria. Energies are from PBE.

abc: 5.015 5.015 5.015
angles: 60.00 60.00 60.00
Element x y z (fractional)
Bi: 0.500 0.500 0.500
Au: 0.250 0.250 0.250
Ru: 0.750 0.750 0.750
Pm: 0.000 0.000 0.000

The calculation puts the total energy at -5.4234 eV per atom.



Record 4
Here is a relaxed structure of MgOs2Ru from Alexandria. Energies are from PBE.

abc: 2.720 2.720 9.074
angles: 90.00 90.00 116.34
Last column: magnetic moment on the atom in μB.
Element x y z (fractional)
Os: 0.500 0.500 0.252  0.28
Os: 0.000 0.000 0.004  0.05
Mg: 0.500 0.500 0.747  0.00
Ru: 0.000 0.000 0.496  0.41

The calculation puts the total energy at -7.8635 eV per atom.



Record 5
Here is a relaxed structure of NbNi3Au2 from Alexandria. Energies are from PBE.

abc: 3.971 7.176 7.312
angles: 119.39 105.76 90.00
Element x y z (fractional)
Ni: 0.500 0.750 0.000
Ni: 0.845 0.595 0.690
Ni: 0.500 0.250 0.000
Ni: 0.155 0.905 0.310
Ni: 0.845 0.095 0.690
Ni: 0.155 0.405 0.310
Au: 0.335 0.335 0.670
Au: 0.335 0.835 0.670
Au: 0.665 0.665 0.330
Au: 0.665 0.165 0.330
Nb: 0.000 0.000 0.000
Nb: 0.000 0.500 0.000

The calculation puts the total energy at -5.7674 eV per atom.



Record 6
Here is a relaxed structure of CdSb2Rh2 from Alexandria. Energies are from PBE.

abc: 7.480 7.480 3.509
angles: 90.00 90.00 90.00
Element x y z (fractional)
Cd: 0.500 0.500 0.000
Cd: 0.000 0.000 0.000
Rh: 0.141 0.359 0.000
Rh: 0.359 0.859 0.000
Rh: 0.859 0.641 0.000
Rh: 0.641 0.141 0.000
Sb: 0.345 0.155 0.500
Sb: 0.845 0.345 0.500
Sb: 0.155 0.655 0.500
Sb: 0.655 0.845 0.500

For the formation energy without anion corrections, the calculation gives -1.0 eV/f.u. The excess energy over the best structure of this formula in the dataset is 0 meV/atom.



Record 7
Here is a relaxed structure of Th2SiS from Alexandria. Energies are from PBE.

abc: 5.878 5.878 11.835
angles: 90.00 90.00 90.00
Element x y z (fractional)
Si: 0.250 0.000 0.375
Si: 0.750 0.500 0.875
Si: 0.250 0.500 0.125
Si: 0.750 0.000 0.625
S: 0.750 0.500 0.375
S: 0.250 0.000 0.875
S: 0.250 0.500 0.625
S: 0.750 0.000 0.125
Th: 0.750 0.000 0.376
Th: 0.250 0.500 0.876
Th: 0.250 0.000 0.624
Th: 0.250 0.000 0.126
Th: 0.750 0.500 0.626
Th: 0.750 0.500 0.124
Th: 0.750 0.000 0.874
Th: 0.250 0.500 0.374

For the formation energy without anion corrections, the calculation gives -5.2 eV/f.u. The excess energy over the best structure of this formula in the dataset is 0 meV/atom.



Record 8
Here is a relaxed structure of PuGa2As from Alexandria. Energies are from PBE.

abc: 3.198 3.198 10.339
angles: 81.10 81.10 60.00
Last column: magnetic moment on the atom in μB.
Element x y z (fractional)
Pu: 0.000 0.000 0.000  5.50
Ga: 0.098 0.098 0.706  -0.01
Ga: 0.902 0.902 0.294  -0.01
As: 0.500 0.500 0.500  -0.02

The excess energy over the best structure of this formula in the dataset is 744 meV/atom.